P) # GGA-PBEsol Sr2PtCl, relaxed
# magnetic moment	0.0	μB/cell
# calculated volume	346.39	Å³/cell
data_Sr2PtCl
_cell_length_a 4.2079
_cell_length_b 4.2079
_cell_length_c 22.5894
_cell_angle_alpha 90.00
_cell_angle_beta 90.00
_cell_angle_gamma 120.00
_symmetry_space_group_name_H-M 'R -3 m'
_symmetry_Int_Tables_number 166
_symmetry_space_group_name_Hall '-R 3 2"'
loop_
_atom_site_label
_atom_site_type_symbol
_atom_site_fract_x
_atom_site_fract_y
_atom_site_fract_z
_atom_site_occupancy
Sr1 Sr 0.0000 0.0000 0.2412 1
Pt1 Pt 0.0000 0.0000 0.5000 1
Cl1 Cl 0.0000 0.0000 0.0000 1

Q) # GGA-PBEsol Sr2PtCl, relaxed
# magnetic moment	0.0	μB/cell
# calculated volume	404.47	Å³/cell
data_Sr2PtCl
_cell_length_a 7.395
_cell_length_b 7.395
_cell_length_c 7.395
_cell_angle_alpha 90.00
_cell_angle_beta 90.00
_cell_angle_gamma 90.00
_symmetry_space_group_name_H-M 'F m -3 m'
_symmetry_Int_Tables_number 225
_symmetry_space_group_name_Hall '-F 4 2 3'
loop_
_atom_site_label
_atom_site_type_symbol
_atom_site_fract_x
_atom_site_fract_y
_atom_site_fract_z
_atom_site_occupancy
Sr1 Sr 0.250 0.250 0.250 1
Pt1 Pt 0.000 0.000 0.000 1
Cl1 Cl 0.000 0.000 0.500 1

Taking the most stable structure as the zero point, the relative energies in eV/atom are P) 0.000; Q) 0.188.

P) # GGA-PBEsol TaPt2Cl, relaxed
# magnetic moment	0.0	μB/cell
# calculated volume	157.73	Å³/cell
data_TaPt2Cl
_cell_length_a 2.809
_cell_length_b 4.313
_cell_length_c 13.017
_cell_angle_alpha 90.00
_cell_angle_beta 90.00
_cell_angle_gamma 90.00
_symmetry_space_group_name_H-M 'I m m 2'
_symmetry_Int_Tables_number 44
_symmetry_space_group_name_Hall 'I 2 -2'
loop_
_atom_site_label
_atom_site_type_symbol
_atom_site_fract_x
_atom_site_fract_y
_atom_site_fract_z
_atom_site_occupancy
Ta1 Ta 0.000 0.000 0.000 1
Pt1 Pt 0.000 0.000 0.435 1
Pt2 Pt 0.000 0.500 0.318 1
Cl1 Cl 0.000 0.500 0.654 1

Q) # GGA-PBEsol TaPt2Cl, relaxed
# magnetic moment	0.0	μB/cell
# calculated volume	127.52	Å³/cell
data_TaPt2Cl
_cell_length_a 3.977
_cell_length_b 3.977
_cell_length_c 8.062
_cell_angle_alpha 90.00
_cell_angle_beta 90.00
_cell_angle_gamma 90.00
_symmetry_space_group_name_H-M 'I 4/m m m'
_symmetry_Int_Tables_number 139
_symmetry_space_group_name_Hall '-I 4 2'
loop_
_atom_site_label
_atom_site_type_symbol
_atom_site_fract_x
_atom_site_fract_y
_atom_site_fract_z
_atom_site_occupancy
Ta1 Ta 0.000 0.000 0.000 1
Pt1 Pt 0.000 0.500 0.250 1
Cl1 Cl 0.000 0.000 0.500 1

Taking the most stable structure as the zero point, the relative energies in eV/atom are P) 0.000; Q) 0.393.

P) # GGA-PBEsol TcPtCl2, relaxed
# magnetic moment	6.4	μB/cell
# calculated volume	166.27	Å³/cell
data_TcPtCl2
_cell_length_a 2.898
_cell_length_b 6.304
_cell_length_c 9.099
_cell_angle_alpha 90.00
_cell_angle_beta 90.00
_cell_angle_gamma 90.00
_symmetry_space_group_name_H-M 'I m m 2'
_symmetry_Int_Tables_number 44
_symmetry_space_group_name_Hall 'I 2 -2'
loop_
_atom_site_label
_atom_site_type_symbol
_atom_site_fract_x
_atom_site_fract_y
_atom_site_fract_z
_atom_site_occupancy
Tc1 Tc 0.000 0.000 0.000 1
Pt1 Pt 0.000 0.500 0.270 1
Cl1 Cl 0.000 0.000 0.546 1
Cl2 Cl 0.000 0.500 0.704 1

Q) # GGA-PBEsol TcPtCl2, relaxed
# magnetic moment	0.0	μB/cell
# calculated volume	61.50	Å³/cell
data_TcPtCl2
_cell_length_a 2.866
_cell_length_b 4.175
_cell_length_c 5.155
_cell_angle_alpha 90.00
_cell_angle_beta 94.36
_cell_angle_gamma 90.00
_symmetry_space_group_name_H-M 'P 1 2/m 1'
_symmetry_Int_Tables_number 10
_symmetry_space_group_name_Hall '-P 2y'
loop_
_atom_site_label
_atom_site_type_symbol
_atom_site_fract_x
_atom_site_fract_y
_atom_site_fract_z
_atom_site_occupancy
Tc1 Tc 0.000 0.000 0.000 1
Pt1 Pt 0.500 0.000 0.500 1
Cl1 Cl 0.194 0.500 0.242 1

Taking the most stable structure as the zero point, the relative energies in eV/atom are P) 0.000; Q) 0.009.